(1)
LiMgAu2: optimized geometry, PBE.

Cell lengths 3.6401, 3.6401, 20.0332 Å; angles 90.00, 90.00, 120.00 degrees
Space group R3m (No. 160, hexagonal axes)
Asymmetric unit:
Li  0.0000  0.0000  0.0000
Mg  0.0000  0.0000  0.1671
Au  0.0000  0.0000  0.5904
Au  0.0000  0.0000  0.7430

Its calculated total energy is -2.89 eV per atom. The calculation puts the calculated formation energy at -371 meV/atom. Its total magnetic moment is 0.00 μB/f.u.

=====

(2)
PrTlAg4: optimized geometry, PBE.

Cell lengths 8.059, 8.059, 8.059 Å; angles 90.00, 90.00, 90.00 degrees
Space group F-43m (No. 216)
Asymmetric unit:
Pr  0.000  0.000  0.000
Tl  0.250  0.250  0.750
Ag  0.125  0.125  0.375

Its calculated total energy is -3.28 eV per atom. The calculation puts the calculated formation energy at -187 meV/atom. Its total magnetic moment is 0.00 μB/f.u.

=====

(3)
SrCuTe2: optimized geometry, PBE.

Cell lengths 7.864, 7.864, 7.649 Å; angles 90.00, 90.00, 90.00 degrees
Space group I-42d (No. 122)
Asymmetric unit:
Sr  0.000  0.000  0.000
Cu  0.000  0.000  0.500
Te  0.170  0.250  0.625

Its calculated total energy is -3.80 eV per atom. Its total magnetic moment is 0.00 μB/f.u.

=====

(4)
Tb2NdAg: optimized geometry, PBE.

Cell lengths 3.643, 3.643, 8.792 Å; angles 90.00, 90.00, 90.00 degrees
Space group P4/mmm (No. 123)
Asymmetric unit:
Tb  0.000  0.000  0.208
Nd  0.500  0.500  0.500
Ag  0.500  0.500  0.000

Its calculated total energy is -4.35 eV per atom. The offset from the most stable computed form comes out at 0 meV per atom. The calculation puts the calculated formation energy at -130 meV/atom. Its total magnetic moment is 0.00 μB/f.u.

=====

(5)
Sm2LuCo: optimized geometry, PBE.

Cell lengths 3.5895, 3.5895, 31.0335 Å; angles 90.00, 90.00, 120.00 degrees
Space group R-3m (No. 166, hexagonal axes)
Asymmetric unit:
Sm  0.0000  0.0000  0.1112
Lu  0.0000  0.0000  0.0000
Co  0.0000  0.0000  0.5000

Its calculated total energy is -5.04 eV per atom. The offset from the most stable computed form comes out at 186 meV per atom. The calculation puts the calculated formation energy at 231 meV/atom. Its total magnetic moment is 0.00 μB/f.u.

=====

(6)
NaTlCdGe: optimized geometry, PBE.

Cell lengths 7.258, 7.258, 7.258 Å; angles 90.00, 90.00, 90.00 degrees
Space group F-43m (No. 216)
Asymmetric unit:
Na  0.000  0.000  0.000
Tl  0.250  0.250  0.250
Cd  0.000  0.000  0.500
Ge  0.250  0.250  0.750

Its calculated total energy is -2.28 eV per atom. The calculation puts the calculated formation energy at 28 meV/atom. Its total magnetic moment is 0.00 μB/f.u.

=====

(7)
HfTi2Zn4: optimized geometry, PBE.

Cell lengths 3.883, 3.883, 16.311 Å; angles 90.00, 90.00, 90.00 degrees
Space group I4/mmm (No. 139)
Asymmetric unit:
Hf  0.000  0.000  0.000
Ti  0.000  0.000  0.250
Zn  0.000  0.500  0.126

Its calculated total energy is -4.34 eV per atom. The calculation puts the calculated formation energy at 62 meV/atom. Its total magnetic moment is 0.00 μB/f.u.

=====

(8)
Tm4ThTl: optimized geometry, PBE.

Cell lengths 3.563, 3.563, 13.965 Å; angles 90.00, 90.00, 90.00 degrees
Space group P4/mmm (No. 123)
Asymmetric unit:
Tm  0.000  0.000  0.149
Tm  0.500  0.500  0.327
Th  0.000  0.000  0.500
Tl  0.500  0.500  0.000

Its calculated total energy is -4.70 eV per atom. The offset from the most stable computed form comes out at 0 meV per atom. The calculation puts the calculated formation energy at -93 meV/atom. Its total magnetic moment is 0.00 μB/f.u.

=====

(9)
Ba2AgIr: optimized geometry, PBE.

Cell lengths 4.719, 4.719, 10.398 Å; angles 90.00, 90.00, 90.00 degrees
Space group I-4m2 (No. 119)
Asymmetric unit:
Ba  0.000  0.000  0.000
Ba  0.000  0.500  0.250
Ag  0.000  0.000  0.500
Ir  0.000  0.500  0.750

Its calculated total energy is -3.73 eV per atom. The offset from the most stable computed form comes out at 253 meV per atom. The calculation puts the calculated formation energy at 164 meV/atom. Its total magnetic moment is 0.00 μB/f.u.

=====

(10)
Ac4MgPd2: optimized geometry, PBE.

Cell lengths 5.4425, 5.4425, 27.7608 Å; angles 90.00, 90.00, 120.00 degrees
Space group R-3m (No. 166, hexagonal axes)
Asymmetric unit:
Ac  0.0000  0.0000  0.1177
Ac  0.0000  0.0000  0.2910
Mg  0.0000  0.0000  0.5000
Pd  0.0000  0.0000  0.4025

Its calculated total energy is -4.42 eV per atom. The calculation puts the calculated formation energy at -358 meV/atom. Its total magnetic moment is 0.00 μB/f.u.

=====

(11)
Na2In3I2Br4: optimized geometry, PBE.

Cell lengths 5.328, 5.328, 27.991 Å; angles 90.00, 90.00, 90.00 degrees
Space group I4/mmm (No. 139)
Asymmetric unit:
Na  0.000  0.000  0.093
In  0.000  0.000  0.319
In  0.000  0.000  0.500
I  0.000  0.000  0.203
Br  0.000  0.500  0.063

Its calculated total energy is -2.67 eV per atom. Its total magnetic moment is 0.00 μB/f.u.

=====

(12)
Ce4GeSCl2: optimized geometry, PBE.

Cell lengths 7.002, 4.150, 7.103 Å; angles 90.00, 110.26, 90.00 degrees
Space group P2/m (No. 10)
Asymmetric unit:
Ce  0.241  0.000  0.238
Ce  0.248  0.500  0.759
Ge  0.000  0.000  0.500
S  0.000  0.500  0.000
Cl  0.500  0.000  0.000
Cl  0.500  0.500  0.500

Its calculated total energy is -5.97 eV per atom. Its total magnetic moment is 2.57 μB/f.u.

=====

(13)
Mg5Br12Cl3: optimized geometry, PBE.

Cell lengths 17.236, 17.236, 17.236 Å; angles 90.00, 90.00, 90.00 degrees
Space group Ia-3d (No. 230)
Asymmetric unit:
Mg  0.000  0.000  0.000
Mg  0.000  0.250  0.375
Br  0.027  0.041  0.649
Cl  0.000  0.250  0.125

Its calculated total energy is -2.49 eV per atom. Its total magnetic moment is 5.10 μB/f.u.

=====

(14)
CsBa3V: optimized geometry, PBE.

Cell lengths 6.483, 6.483, 6.483 Å; angles 90.00, 90.00, 90.00 degrees
Space group Pm-3m (No. 221)
Asymmetric unit:
Cs  0.000  0.000  0.000
Ba  0.000  0.000  0.500
V  0.500  0.500  0.500

Its calculated total energy is -1.83 eV per atom. The offset from the most stable computed form comes out at 587 meV per atom. The calculation puts the calculated formation energy at 1316 meV/atom. Its total magnetic moment is 3.67 μB/f.u.

=====

(15)
NdBiRh: optimized geometry, PBE.

Cell lengths 4.7539, 4.7539, 3.7512 Å; angles 90.00, 90.00, 120.00 degrees
Space group P-6m2 (No. 187)
Asymmetric unit:
Nd  0.0000  0.0000  0.0000
Bi  0.3333  0.6667  0.5000
Rh  0.6667  0.3333  0.5000

Its calculated total energy is -5.98 eV per atom. The calculation puts the calculated formation energy at -642 meV/atom. Its total magnetic moment is 0.00 μB/f.u.

=====

(16)
Zr2RuSe: optimized geometry, PBE.

Cell lengths 4.270, 3.442, 10.202 Å; angles 90.00, 90.00, 90.00 degrees
Space group Amm2 (No. 38)
Asymmetric unit:
Zr  0.000  0.000  0.000
Zr  0.500  0.000  0.287
Ru  0.500  0.000  0.551
Se  0.000  0.000  0.726

Its calculated total energy is -8.16 eV per atom. Its total magnetic moment is 0.00 μB/f.u.

=====

(17)
Na2GeN: optimized geometry, PBE.

Cell lengths 9.661, 9.661, 3.972 Å; angles 90.00, 90.00, 90.00 degrees
Space group I-42d (No. 122)
Asymmetric unit:
Na  0.066  0.250  0.125
Ge  0.000  0.000  0.500
N  0.000  0.000  0.000

Its calculated total energy is -3.58 eV per atom. The offset from the most stable computed form comes out at 0 meV per atom. Its total magnetic moment is 0.39 μB/f.u.

=====

(18)
BaTcSCl2: optimized geometry, PBE.

Cell lengths 5.765, 5.765, 6.103 Å; angles 90.00, 90.00, 90.00 degrees
Space group P4/mmm (No. 123)
Asymmetric unit:
Ba  0.000  0.000  0.000
Tc  0.500  0.500  0.500
S  0.000  0.000  0.500
Cl  0.000  0.500  0.000

Its calculated total energy is -3.94 eV per atom. The offset from the most stable computed form comes out at 1099 meV per atom. Its total magnetic moment is 4.94 μB/f.u.

=====

(19)
SiP2O7: optimized geometry, PBE.

Cell lengths 7.733, 7.733, 7.733 Å; angles 90.00, 90.00, 90.00 degrees
Space group Pa-3 (No. 205)
Asymmetric unit:
Si  0.000  0.000  0.000
P  0.119  0.619  0.881
O  0.000  0.000  0.500
O  0.061  0.695  0.399

Its calculated total energy is -7.36 eV per atom. The offset from the most stable computed form comes out at 31 meV per atom. Its total magnetic moment is 0.00 μB/f.u.